# NaMoOsO6 | Alexandria via LeMat-Bulk | GGA+U | optimized geometry
# Final energy (eV per atom): -6.84
# N(E_F) (states/eV/atom): 0.466
data_NaMoOsO6
_chemical_formula_sum 'Na2 Mo2 Os2 O12'
_symmetry_space_group_name_H-M 'P 42 n m'
_symmetry_Int_Tables_number 102
_symmetry_space_group_name_Hall 'P 4n -2n'
_cell_length_a 4.8434
_cell_length_b 4.8434
_cell_length_c 9.2661
_cell_angle_alpha 90.00
_cell_angle_beta 90.00
_cell_angle_gamma 90.00
loop_
_atom_site_label
_atom_site_fract_x
_atom_site_fract_y
_atom_site_fract_z
Na1 0.0000 0.0000 0.0000
Mo1 0.0000 0.0000 0.6701
Os1 0.0000 0.0000 0.3274
O1 0.1712 0.1712 0.4954
O2 0.2182 0.2182 0.1925
O3 0.2225 0.2225 0.8048